Entry 1:
## BeZnAs2Pt (PBE-GGA)

Data for a relaxed BeZnAs2Pt crystal.

Summary:
**ΔH_f (0 K)**: 491 meV/atom
**E**: -3.5769 eV/atom
**DOS at the Fermi energy**: 2.98 states/eV/cell
**V**: 16.64 Å³ per atom

a b c (Å): 4.4128 4.4128 4.2722
angles (deg): 90.00 90.00 90.00
With the nearest neighbours (Å) after each atom.
Space group P4/mmm (No. 123)
Inequivalent atoms, fractional coordinates:
Be1 0.0000 0.0000 0.0000 [1 per cell]  2 Zn 2.14, 4 As 2.21
Zn1 0.0000 0.0000 0.5000 [1 per cell]  2 Be 2.14
As1 0.0000 0.5000 0.0000 [2 per cell]  2 Be 2.21
Pt1 0.5000 0.5000 0.5000 [1 per cell]  8 As 3.07, 4 Zn 3.12

***

Entry 2:
## Zr2BeAsPt (PBE-GGA)

Data for a relaxed Zr2BeAsPt crystal.

Summary:
**ΔH_f (0 K)**: -69 meV/atom
**E**: -6.3712 eV/atom
**DOS at the Fermi energy**: 3.93 states/eV/cell
**V**: 21.84 Å³ per atom

a b c (Å): 5.1267 5.1267 4.1545
angles (deg): 90.00 90.00 90.00
With the nearest neighbours (Å) after each atom.
Space group P4/mmm (No. 123)
Inequivalent atoms, fractional coordinates:
Zr1 0.0000 0.5000 0.0000 [2 per cell]  2 Pt 2.56
Be1 0.0000 0.0000 0.5000 [1 per cell]  2 Pt 2.08
As1 0.5000 0.5000 0.5000 [1 per cell]  8 Zr 3.30, 4 Be 3.63
Pt1 0.0000 0.0000 0.0000 [1 per cell]  2 Be 2.08

***

Entry 3:
## PuBe3As3 (PBE-GGA)

Data for a relaxed PuBe3As3 crystal.

Summary:
**ΔH_f (0 K)**: -325 meV/atom
**Excess energy over the best structure of this formula in the dataset**: 0 kJ/mol of formula units
**E**: -5.9617 eV/atom
**DOS at the Fermi energy**: 35.57 states/eV/cell
**V**: 17.16 Å³ per atom

a b c (Å): 13.0556 3.6717 11.3365
angles (deg): 90.00 117.85 90.00
With the nearest neighbours (Å) after each atom.
Space group C2/m (No. 12)
Inequivalent atoms, fractional coordinates:
Pu1 0.1328 0.0000 0.1903 [4 per cell]  8 As 3.04-3.30
Be1 0.0821 0.5000 0.7402 [4 per cell]  4 As 2.24-2.33
Be2 0.1892 0.0000 0.5183 [4 per cell]  4 As 2.25-2.31
Be3 0.1951 0.0000 0.9168 [4 per cell]  4 As 2.29-2.34, 2 Be 2.54
As1 0.1039 0.5000 0.9560 [4 per cell]  4 Be 2.33-2.34
As2 0.1116 0.5000 0.3935 [4 per cell]  4 Be 2.25-2.31
As3 0.1575 0.0000 0.6986 [4 per cell]  4 Be 2.24-2.29

***

Entry 4:
## PuBe2As2 (PBE-GGA)

Data for a relaxed PuBe2As2 crystal.

Summary:
**ΔH_f (0 K)**: -423 meV/atom
**E**: -6.6399 eV/atom
**DOS at the Fermi energy**: 11.76 states/eV/cell
**V**: 16.80 Å³ per atom

a b c (Å): 3.6855 3.6855 12.3716
angles (deg): 90.00 90.00 90.00
With the nearest neighbours (Å) after each atom.
Space group I4/mmm (No. 139)
Inequivalent atoms, fractional coordinates:
Pu1 0.0000 0.0000 0.0000 [2 per cell]  8 As 3.10
Be1 0.0000 0.5000 0.2500 [4 per cell]  4 As 2.32
As1 0.0000 0.0000 0.3638 [4 per cell]  4 Be 2.32

***

Entry 5:
## PuBeAs (PBE-GGA)

Data for a relaxed PuBeAs crystal.

Summary:
**ΔH_f (0 K)**: -570 meV/atom
**Excess energy over the best structure of this formula in the dataset**: 0 kJ/mol of formula units
**E**: -8.1397 eV/atom
**DOS at the Fermi energy**: 9.51 states/eV/cell
**V**: 17.95 Å³ per atom

a b c (Å): 3.8581 3.8581 4.1769
angles (deg): 90.00 90.00 120.00
With the nearest neighbours (Å) after each atom.
Space group P-6m2 (No. 187)
Inequivalent atoms, fractional coordinates:
Pu1 0.0000 0.0000 0.0000 [1 per cell]  6 As 3.05, 6 Be 3.05
Be1 0.6667 0.3333 0.5000 [1 per cell]  3 As 2.23
As1 0.3333 0.6667 0.5000 [1 per cell]  3 Be 2.23

***

Entry 6:
## PuBeAs (PBE-GGA)

Data for a relaxed PuBeAs crystal.

Summary:
**ΔH_f (0 K)**: -382 meV/atom
**Excess energy over the best structure of this formula in the dataset**: 55 kJ/mol of formula units
**E**: -7.9508 eV/atom
**DOS at the Fermi energy**: 38.24 states/eV/cell
**V**: 19.75 Å³ per atom

a b c (Å): 4.1376 13.5179 4.2367
angles (deg): 90.00 90.00 90.00
With the nearest neighbours (Å) after each atom.
Space group Cmcm (No. 63)
Inequivalent atoms, fractional coordinates:
Pu1 0.0000 0.1392 0.2500 [4 per cell]  5 As 2.87-2.96, 4 Be 2.99
Be1 0.0000 0.5000 0.0000 [4 per cell]  2 Be 2.12, 2 As 2.27
As1 0.0000 0.3517 0.2500 [4 per cell]  2 Be 2.27